# TaFeBF2 (PBE+U, optimized geometry)
data_TaFeBF2
_chemical_formula_sum 'Ta1 Fe1 B1 F2'
_symmetry_space_group_name_H-M 'P 4/m m m'
_symmetry_Int_Tables_number 123
_symmetry_space_group_name_Hall '-P 4 2'
_cell_length_a 3.7271
_cell_length_b 3.7271
_cell_length_c 4.9146
_cell_angle_alpha 90.00
_cell_angle_beta 90.00
_cell_angle_gamma 90.00
loop_
_atom_site_label
_atom_site_fract_x
_atom_site_fract_y
_atom_site_fract_z
_atom_site_occupancy
Ta1 0.0000 0.0000 0.0000 1
Fe1 0.5000 0.5000 0.0000 1
B1 0.0000 0.0000 0.5000 1
F1 0.0000 0.5000 0.5000 1
# - total DFT energy (no corrections) (Ry per atom) = -0.38182